Sr2ScIr (PBE, optimized geometry); E_tot = -4.225 eV/atom; magnetic moment = 1.09 μB/f.u.; formation energy = 9.6 kcal/mol of atoms
1.0
-4.3527 9.3539 3.1453
-5.5862 7.1231 5.8643
-2.1849 8.6302 6.0895
Sr Sc Ir
2 1 1
direct
0.9809 0.9809 0.9809
0.5191 0.5191 0.5191
0.7500 0.7500 0.7500
0.2500 0.2500 0.2500



NbCu2SnPt (PBE, optimized geometry); E_tot = -4.801 eV/atom; magnetic moment = 2.25 μB/f.u.; formation energy = 19.8 kcal/mol of atoms
1.0
4.6685 0.0000 0.0000
0.0000 4.9428 0.0000
0.0000 0.0000 4.6685
Cu Sn Nb Pt
2 1 1 1
direct
0.0000 0.0000 0.5000
0.5000 0.0000 0.0000
0.0000 0.5000 0.0000
0.5000 0.5000 0.5000
0.0000 0.0000 0.0000



AcTmSnBi (PBE, optimized geometry); E_tot = -4.640 eV/atom; magnetic moment = 0.00 μB/f.u.; formation energy = -12.1 kcal/mol of atoms
1.0
5.6410 0.0000 0.0000
2.8205 4.8853 0.0000
2.8205 1.6284 4.6059
Bi Tm Ac Sn
1 1 1 1
direct
0.7500 0.7500 0.7500
0.0000 0.0000 0.0000
0.5000 0.5000 0.5000
0.2500 0.2500 0.2500



BeZnRh (PBE, optimized geometry); E_tot = -4.359 eV/atom; magnetic moment = 0.00 μB/f.u.; formation energy = -5.6 kcal/mol of atoms
1.0
3.7965 0.0000 0.0000
1.8983 3.2879 0.0000
1.8983 1.0960 3.0998
Be Zn Rh
1 1 1
direct
0.7500 0.7500 0.7500
0.5000 0.5000 0.5000
0.0000 0.0000 0.0000



Na2AgPbF6 (PBE, optimized geometry); E_tot = -4.189 eV/atom; magnetic moment = 0.00 μB/f.u.
1.0
5.9589 0.0008 0.0006
2.9801 5.1602 0.0005
2.9801 1.7208 5.2826
F Na Ag Pb
6 2 1 1
direct
0.4201 0.7112 0.7531
0.2036 0.9174 0.2603
0.6186 0.2037 0.2603
0.9175 0.6185 0.2604
0.1154 0.4202 0.7534
0.7110 0.1154 0.7534
0.0232 0.0231 0.9306
0.5229 0.5229 0.4315
0.3149 0.3149 0.0554
0.8144 0.8144 0.5568



SmTh2Ti (PBE, optimized geometry); E_tot = -6.719 eV/atom; magnetic moment = 0.01 μB/f.u.; formation energy = 3.3 kcal/mol of atoms
1.0
-2.3538 -0.1816 2.7472
-0.9917 -3.3157 -1.0690
6.1919 -3.4881 5.0747
Ti Th Sm
1 2 1
direct
0.5000 0.5000 0.0000
0.0000 0.0000 0.7839
0.0000 0.0000 0.2161
0.5000 0.5000 0.5000



Th2TiS2Br4 (PBE, optimized geometry); E_tot = -5.446 eV/atom; magnetic moment = 0.20 μB/f.u.
1.0
3.6389 0.0000 0.0000
-1.8195 3.1514 0.0000
0.0000 0.0000 22.8315
Br Th S Ti
4 2 2 1
direct
0.6667 0.3333 0.0946
0.6667 0.3333 0.9037
0.0000 0.0000 0.7297
0.0000 0.0000 0.5390
0.0000 0.0000 0.9996
0.6667 0.3333 0.6338
0.6667 0.3333 0.2624
0.6667 0.3333 0.3889
0.0000 0.0000 0.3255



LiLaNb4O12 (PBE, optimized geometry); E_tot = -8.570 eV/atom; magnetic moment = 0.00 μB/f.u.
1.0
8.9550 -0.0020 0.0000
5.4330 7.1186 0.0000
-7.1940 -3.5583 3.9720
O Nb Li La
12 4 1 1
direct
0.7500 0.2500 0.5000
0.1417 0.6303 0.0000
0.0000 0.5000 0.5000
0.5000 0.0000 0.5000
0.6303 0.1417 0.0000
0.8583 0.8583 0.4886
0.8583 0.3697 0.0000
0.6303 0.6303 0.4886
0.3697 0.8583 0.0000
0.1417 0.1417 0.5114
0.3697 0.3697 0.5114
0.2500 0.7500 0.5000
0.3710 0.8710 0.5000
0.6290 0.1290 0.5000
0.1290 0.6290 0.5000
0.8710 0.3710 0.5000
0.0000 0.0000 0.0000
0.5000 0.5000 0.0000